Density functional theory data (PBE with a Hubbard U) for a relaxed structure of BaCdFe2F.

Values from the calculation:
magnetization: 6.784 μB per formula unit
total energy: -3.141 eV per atom

The structure in CIF format:
```
data_BaCdFe2F
_chemical_formula_sum 'Ba1 Cd1 Fe2 F1'
_symmetry_space_group_name_H-M 'P 1'
_symmetry_Int_Tables_number 1
_cell_length_a 5.128
_cell_length_b 5.128
_cell_length_c 5.282
_cell_angle_alpha 90.00
_cell_angle_beta 90.00
_cell_angle_gamma 90.00
loop_
_symmetry_equiv_pos_as_xyz
'x,y,z'
loop_
_atom_site_label
_atom_site_fract_x
_atom_site_fract_y
_atom_site_fract_z
Ba1 0.000 0.000 0.000
Cd1 0.500 0.500 0.500
Fe1 0.000 0.500 0.500
Fe2 0.500 0.000 0.500
F1 0.500 0.500 0.000
```